1.
! Sc2SiBr (GGA-PBEsol, relaxed); values from VASP
! Formation energy from raw total energies (eV per atom): -0.471
! Total magnetic moment (μB/cell): 0.002
! E above lowest polymorph (eV per atom): 0.404
&SYSTEM
  ibrav = 0, nat = 4, ntyp = 3
/
ATOMIC_SPECIES
Si 28.09 Si.upf
Sc 44.96 Sc.upf
Br 79.90 Br.upf
ATOMIC_POSITIONS crystal
Si 0.5000 0.5000 0.0000
Sc 0.0000 0.0000 0.0000
Sc 0.7500 0.2500 0.5000
Br 0.2500 0.7500 0.5000
CELL_PARAMETERS angstrom
3.9070 0.0000 0.0000
0.0000 3.9070 0.0000
-1.9535 -1.9535 5.0626


2.
! ReMo2Os (GGA-PBEsol, relaxed); values from VASP
! Total magnetic moment (μB/cell): 0.000
! Formation energy from the elements (kcal/mol of atoms): 3.57
&SYSTEM
  ibrav = 0, nat = 4, ntyp = 3
/
ATOMIC_SPECIES
Re 186.21 Re.upf
Mo 95.94 Mo.upf
Os 190.23 Os.upf
ATOMIC_POSITIONS crystal
Re 0.2500 0.7500 0.5000
Mo 0.0000 0.0000 0.0000
Mo 0.7500 0.2500 0.5000
Os 0.5000 0.5000 0.0000
CELL_PARAMETERS angstrom
-1.2919 -3.6420 0.4366
3.5763 -1.3536 -0.7082
-0.3204 2.6653 3.9655


3.
! SeIN2 (GGA-PBEsol, relaxed); values from VASP
! Formation energy from raw total energies (eV per atom): 1.566
! Total magnetic moment (μB/cell): 0.000
&SYSTEM
  ibrav = 0, nat = 8, ntyp = 3
/
ATOMIC_SPECIES
N 14.01 N.upf
Se 78.96 Se.upf
I 126.90 I.upf
ATOMIC_POSITIONS crystal
N 0.4353 0.6250 0.4397
N 0.9353 0.8103 0.6250
N 0.0647 0.4397 0.1250
N 0.5647 0.1250 0.8103
Se 0.0000 0.5000 0.5000
Se 0.5000 0.7500 0.7500
I 0.5000 0.2500 0.2500
I 0.0000 0.0000 0.0000
CELL_PARAMETERS angstrom
-5.0340 -2.1771 1.0882
4.3314 -3.4726 0.6677
-0.9407 -1.3647 5.3402


4.
! MgBe2Cd (GGA-PBEsol, relaxed); values from VASP
! Total magnetic moment (μB/cell): 0.000
! Formation energy from the elements (kcal/mol of atoms): 9.93
&SYSTEM
  ibrav = 0, nat = 4, ntyp = 3
/
ATOMIC_SPECIES
Be 9.01 Be.upf
Mg 24.30 Mg.upf
Cd 112.41 Cd.upf
ATOMIC_POSITIONS crystal
Be 0.7500 0.7500 0.7500
Be 0.0000 0.0000 0.0000
Mg 0.2500 0.2500 0.2500
Cd 0.5000 0.5000 0.5000
CELL_PARAMETERS angstrom
4.3297 0.0000 0.0000
2.1648 3.7496 0.0000
2.1648 1.2499 3.5352


5.
! Ba2LiCa (GGA-PBEsol, relaxed); values from VASP
! Total magnetic moment (μB/cell): 0.000
! E above lowest polymorph (eV per atom): 0.000
! Formation energy from the elements (kcal/mol of atoms): 0.69
&SYSTEM
  ibrav = 0, nat = 4, ntyp = 3
/
ATOMIC_SPECIES
Li 6.94 Li.upf
Ba 137.33 Ba.upf
Ca 40.08 Ca.upf
ATOMIC_POSITIONS crystal
Li 0.5000 0.5000 0.7229
Ba 0.5000 0.5000 0.2737
Ba 0.0000 0.0000 0.9475
Ca 0.0000 0.0000 0.5559
CELL_PARAMETERS angstrom
-0.8301 1.0489 -3.9972
-3.5797 -2.2196 0.1609
-4.9302 8.1812 3.1707


6.
! AsPb2 (GGA-PBEsol, relaxed); values from VASP
! Total magnetic moment (μB/cell): 0.000
! E above lowest polymorph (eV per atom): 0.066
! Formation energy from the elements (kcal/mol of atoms): 2.09
&SYSTEM
  ibrav = 0, nat = 12, ntyp = 2
/
ATOMIC_SPECIES
Pb 207.20 Pb.upf
As 74.92 As.upf
ATOMIC_POSITIONS crystal
Pb 0.1308 0.6308 0.8692
Pb 0.8692 0.1308 0.6308
Pb 0.6308 0.6308 0.6308
Pb 0.3692 0.3692 0.3692
Pb 0.6308 0.8692 0.1308
Pb 0.3692 0.1308 0.8692
Pb 0.8692 0.3692 0.1308
Pb 0.1308 0.8692 0.3692
As 0.5000 0.0000 0.5000
As 0.5000 0.5000 0.0000
As 0.0000 0.0000 0.0000
As 0.0000 0.5000 0.5000
CELL_PARAMETERS angstrom
7.0722 0.0000 0.0000
0.0000 7.0722 0.0000
0.0000 0.0000 7.0722


7.
! CdCoBr2 (GGA-PBEsol, relaxed); values from VASP
! Formation energy from raw total energies (eV per atom): -0.033
! Total magnetic moment (μB/cell): 1.933
! E above lowest polymorph (eV per atom): 0.000
&SYSTEM
  ibrav = 0, nat = 8, ntyp = 3
/
ATOMIC_SPECIES
Br 79.90 Br.upf
Cd 112.41 Cd.upf
Co 58.93 Co.upf
ATOMIC_POSITIONS crystal
Br 0.8584 0.7334 0.6250
Br 0.6416 0.1250 0.7334
Br 0.1416 0.5166 0.1250
Br 0.3584 0.6250 0.5166
Cd 0.5000 0.2500 0.2500
Cd 0.0000 0.0000 0.0000
Co 0.5000 0.7500 0.7500
Co 0.0000 0.5000 0.5000
CELL_PARAMETERS angstrom
0.1352 -6.2563 -1.7070
6.2947 0.8399 1.3207
3.8884 -2.2560 4.6759


8.
! BeCdMo2 (GGA-PBEsol, relaxed); values from VASP
! Total magnetic moment (μB/cell): 0.000
! E above lowest polymorph (eV per atom): 0.088
! Formation energy from the elements (kcal/mol of atoms): 8.42
&SYSTEM
  ibrav = 0, nat = 4, ntyp = 3
/
ATOMIC_SPECIES
Be 9.01 Be.upf
Mo 95.94 Mo.upf
Cd 112.41 Cd.upf
ATOMIC_POSITIONS crystal
Be 0.0000 0.5000 0.0000
Mo 0.2619 0.2687 0.5238
Mo 0.7381 0.7313 0.4762
Cd 0.5000 0.0000 0.0000
CELL_PARAMETERS angstrom
-3.2642 -0.2914 -0.2578
0.4431 -1.6972 -3.6920
1.6273 -3.0004 3.7451